(1)
A geometry-optimized MgCdSeN2 structure. Source: Alexandria, functional PBE.

Cell and atoms, written as extended XYZ:
```
5
Lattice="-2.254 -0.910 -3.414 3.531 -0.448 -2.212 0.163 -5.726 1.419" Properties=species:S:1:pos:R:3 pbc="T T T"
Se 0.081 -2.863 0.709
Mg 0.720 -3.542 -2.104
Cd 0.000 0.000 0.000
N -1.127 -0.455 -1.707
N 1.766 -0.224 -1.106
```

Computed properties:
total magnetic moment	3.33	μB/f.u.
E above lowest polymorph	247	meV/atom
space-group type	P4/mmm (123)

(2)
A geometry-optimized Pa2MnW structure. Source: Alexandria, functional PBE.

Cell and atoms, written as extended XYZ:
```
4
Lattice="-2.675 4.236 0.773 -4.844 -0.294 1.466 -1.457 1.343 4.218" Properties=species:S:1:pos:R:3 pbc="T T T"
Pa -6.761 3.963 4.748
Mn 0.000 0.000 0.000
Pa -2.216 1.322 1.708
W -4.488 2.643 3.228
```

Computed properties:
total magnetic moment	0.00	μB/f.u.
space-group type	R-3m (166)
uncorrected energy	-0.3657	Ha/atom

(3)
A geometry-optimized LiCaAg2F6 structure. Source: Alexandria, functional PBE.

Cell and atoms, written as extended XYZ:
```
20
Lattice="-1.988 5.008 -0.990 -4.683 -1.172 3.475 4.353 2.821 6.817" Properties=species:S:1:pos:R:3 pbc="T T T"
F -1.243 5.746 8.173
Ca -0.165 0.825 5.146
F -3.327 4.246 2.911
Ag 0.897 6.830 4.242
F -0.623 3.890 1.345
Li 1.182 3.915 2.913
F 1.190 5.843 6.660
Ag -1.955 2.498 2.568
F -3.509 0.815 2.642
F -2.174 1.895 5.073
F 0.505 2.053 3.378
Ca -0.994 2.504 -0.495
Li -2.342 -0.586 1.738
F -1.696 2.767 7.957
F -2.824 4.605 5.924
F 1.008 2.411 6.391
F -1.076 0.911 1.129
Ag -3.216 -0.173 5.060
F -0.145 4.763 4.229
Ag -0.364 4.160 6.734
```

Computed properties:
total magnetic moment	0.96	μB/f.u.
space-group type	P2_1/c (14)
uncorrected energy	-0.1592	Ha/atom

(4)
A geometry-optimized AlCuNi structure. Source: Alexandria, functional PBE.

Cell and atoms, written as extended XYZ:
```
6
Lattice="-1.229 -3.185 2.085 2.440 -0.503 -3.168 4.220 0.407 3.109" Properties=species:S:1:pos:R:3 pbc="T T T"
Ni 3.813 -1.922 3.149
Ni 1.618 -1.359 -1.122
Al 4.412 -3.379 1.277
Cu 1.708 -2.125 1.597
Cu 3.723 -1.156 0.429
Al 1.019 0.097 0.750
```

Computed properties:
total magnetic moment	0.00	μB/f.u.
E above lowest polymorph	125	meV/atom
space-group type	C2/m (12)

(5)
A geometry-optimized BaLaZr2 structure. Source: Alexandria, functional PBE.

Cell and atoms, written as extended XYZ:
```
4
Lattice="-0.731 -2.707 2.209 0.503 -3.062 -3.586 7.543 -0.691 1.648" Properties=species:S:1:pos:R:3 pbc="T T T"
La 5.543 -3.403 0.548
Zr 7.120 -0.652 1.556
Zr 4.195 -0.384 0.917
Ba 1.772 -3.057 -0.276
```

Computed properties:
total magnetic moment	0.00	μB/f.u.
E above lowest polymorph	174	meV/atom
space-group type	Pmmm (47)

(6)
A geometry-optimized Mg2TiRu2 structure. Source: Alexandria, functional PBE.

Cell and atoms, written as extended XYZ:
```
10
Lattice="6.335 0.000 0.000 0.000 6.335 0.000 0.000 0.000 4.333" Properties=species:S:1:pos:R:3 pbc="T T T"
Ti 0.000 0.000 0.000
Ru 4.063 0.896 0.000
Mg 2.115 1.053 2.167
Mg 1.053 4.220 2.167
Mg 5.282 2.115 2.167
Mg 4.220 5.282 2.167
Ru 2.271 5.439 0.000
Ru 5.439 4.063 0.000
Ti 3.167 3.167 0.000
Ru 0.896 2.271 0.000
```

Computed properties:
total magnetic moment	0.00	μB/f.u.
space-group type	P4/mbm (127)
uncorrected energy	-0.2194	Ha/atom

(7)
A geometry-optimized Rb3Tm2US6 structure. Source: Alexandria, functional PBE.

Cell and atoms, written as extended XYZ:
```
12
Lattice="-0.513 5.524 -4.326 0.747 -6.479 -2.637 -7.719 -0.504 2.176" Properties=species:S:1:pos:R:3 pbc="T T T"
Tm -0.093 1.523 -3.763
Rb -3.742 -0.730 -2.393
S -1.633 1.714 -1.492
U 0.000 0.000 0.000
S -1.206 -2.351 -0.920
S -5.852 -3.173 -3.294
Rb -4.163 3.272 -2.956
S -6.279 0.892 -3.866
S -6.181 -0.671 -0.153
Tm 0.327 -2.478 -3.200
S -1.304 -0.789 -4.633
Rb -3.322 -4.731 -1.830
```

Computed properties:
total magnetic moment	3.01	μB/f.u.
space-group type	C2/m (12)
uncorrected energy	-0.2075	Ha/atom

(8)
A geometry-optimized PmRe6 structure. Source: Alexandria, functional PBE.

Cell and atoms, written as extended XYZ:
```
28
Lattice="5.269 0.000 0.000 0.000 8.562 0.000 0.000 0.000 10.848" Properties=species:S:1:pos:R:3 pbc="T T T"
Re 3.952 5.844 2.790
Re 1.317 6.998 8.215
Re 3.952 0.716 5.184
Re 3.952 1.563 2.634
Re 1.317 7.846 5.665
Re 2.590 7.953 3.331
Re 0.045 7.953 3.331
Re 0.045 3.672 2.093
Re 3.952 4.997 0.240
Re 2.680 0.609 7.517
Re 1.317 5.506 3.794
Pm 3.952 6.265 6.028
Re 2.590 3.672 2.093
Re 3.952 3.547 4.509
Re 5.224 0.609 7.517
Re 1.317 2.717 8.058
Re 3.952 7.828 0.916
Re 3.952 3.056 7.055
Re 1.317 5.014 6.340
Re 1.317 3.565 10.608
Pm 1.317 6.577 0.604
Pm 3.952 1.985 10.244
Pm 1.317 2.296 4.820
Re 2.680 4.890 8.756
Re 5.224 4.890 8.756
Re 3.952 7.337 9.218
Re 1.317 1.225 1.630
Re 1.317 0.733 9.933
```

Computed properties:
total magnetic moment	0.00	μB/f.u.
E above lowest polymorph	0	meV/atom
space-group type	Pnma (62)

(9)
A geometry-optimized Pm3ErAg4 structure. Source: Alexandria, functional PBE.

Cell and atoms, written as extended XYZ:
```
8
Lattice="3.680 0.000 0.000 0.000 3.680 0.000 0.000 0.000 14.939" Properties=species:S:1:pos:R:3 pbc="T T T"
Ag 0.000 0.000 5.582
Pm 1.840 1.840 7.470
Ag 0.000 0.000 1.704
Pm 1.840 1.840 11.270
Ag 0.000 0.000 13.235
Pm 1.840 1.840 3.669
Ag 0.000 0.000 9.357
Er 1.840 1.840 0.000
```

Computed properties:
total magnetic moment	0.00	μB/f.u.
space-group type	P4/mmm (123)
uncorrected energy	-0.1494	Ha/atom

(10)
A geometry-optimized Ba2AgPd3Pb4 structure. Source: Alexandria, functional PBE.

Cell and atoms, written as extended XYZ:
```
10
Lattice="4.934 0.000 0.000 0.000 4.934 0.000 0.000 0.000 11.247" Properties=species:S:1:pos:R:3 pbc="T T T"
Pb 0.000 0.000 0.000
Ba 0.000 2.467 8.393
Pd 2.467 0.000 9.814
Ba 2.467 0.000 2.855
Pb 2.467 0.000 7.040
Pb 2.467 2.467 0.000
Ag 2.467 2.467 5.624
Pd 0.000 0.000 5.624
Pb 0.000 2.467 4.207
Pd 0.000 2.467 1.434
```

Computed properties:
total magnetic moment	0.00	μB/f.u.
space-group type	P-4m2 (115)
uncorrected energy	-0.1525	Ha/atom

(11)
A geometry-optimized Cs2BaGeBr6 structure. Source: Alexandria, functional PBE.

Cell and atoms, written as extended XYZ:
```
10
Lattice="-2.230 -8.084 1.028 0.381 -1.169 -8.359 4.833 -6.154 -3.189" Properties=species:S:1:pos:R:3 pbc="T T T"
Br -1.360 -6.804 -5.391
Ge -0.924 -4.626 -3.665
Cs 0.839 -9.432 -2.913
Br -0.489 -2.448 -1.940
Br -1.539 -6.254 -1.455
Br 1.198 -10.061 -7.078
Br 1.786 -5.345 -3.441
Br -0.310 -2.998 -5.875
Ba 0.000 0.000 0.000
Cs 2.145 -5.974 -7.607
```

Computed properties:
total magnetic moment	0.00	μB/f.u.
E above lowest polymorph	17	meV/atom
space-group type	Fm-3m (225)

(12)
A geometry-optimized Ho2Si3Rh2 structure. Source: Alexandria, functional PBE.

Cell and atoms, written as extended XYZ:
```
7
Lattice="4.158 0.000 0.000 -2.079 4.981 -0.180 0.000 -2.517 5.942" Properties=species:S:1:pos:R:3 pbc="T T T"
Rh 0.000 0.747 1.313
Rh 2.079 1.717 4.449
Si 0.000 2.449 3.186
Si 2.079 0.015 2.576
Ho 0.000 -0.422 4.537
Ho 2.079 2.886 1.225
Si 2.079 0.000 0.000
```

Computed properties:
total magnetic moment	0.00	μB/f.u.
E above lowest polymorph	110	meV/atom
space-group type	C2/m (12)

Which formula does entry 9 have?
Pm3ErAg4

Please write out number 5 again, unchanged.
A geometry-optimized BaLaZr2 structure. Source: Alexandria, functional PBE.

Cell and atoms, written as extended XYZ:
```
4
Lattice="-0.731 -2.707 2.209 0.503 -3.062 -3.586 7.543 -0.691 1.648" Properties=species:S:1:pos:R:3 pbc="T T T"
La 5.543 -3.403 0.548
Zr 7.120 -0.652 1.556
Zr 4.195 -0.384 0.917
Ba 1.772 -3.057 -0.276
```

Computed properties:
total magnetic moment	0.00	μB/f.u.
E above lowest polymorph	174	meV/atom
space-group type	Pmmm (47)

What is the total magnetic moment in the fourth record?
0.00 μB/f.u.